A crystal of Fe2CoW relaxed with PBEsol. Source: the Alexandria database, functional meta-GGA SCAN.

a b c (Å): 3.5613 3.5613 3.5471
angles (deg): 90.00 90.00 90.00
Closest atoms and distances in Å follow each position.
Element x y z (fractional)
1 Fe 0.0000 0.5000 0.0000  4 Co 2.51, 4 W 2.51, 4 Fe 2.52
2 Fe 0.5000 0.0000 0.0000  4 Co 2.51, 4 W 2.51, 4 Fe 2.52
3 Co 0.0000 0.0000 0.5000  8 Fe 2.51, 4 W 2.52
4 W 0.5000 0.5000 0.5000  8 Fe 2.51, 4 Co 2.52

Computed properties:
**E_form**: 0.170 eV per atom
**E**: -30.642 eV/atom
**Symmetry**: P4/mmm
**E above lowest polymorph**: 0.58 eV per formula unit

=====

A crystal of CdInHg2O relaxed with PBEsol. Source: the Alexandria database, functional meta-GGA SCAN.

a b c (Å): 5.3819 5.3819 4.0070
angles (deg): 90.00 90.00 90.00
Closest atoms and distances in Å follow each position.
Element x y z (fractional)
1 Cd 0.0000 0.0000 0.0000  8 Hg 3.35
2 In 0.5000 0.5000 0.0000  2 O 2.00
3 Hg 0.0000 0.5000 0.5000  2 O 2.69
4 Hg 0.5000 0.0000 0.5000  2 O 2.69
5 O 0.5000 0.5000 0.5000  2 In 2.00

Computed properties:
**Formation energy from raw total energies**: 3 meV per atom
**E**: -41.270 eV/atom
**Symmetry**: P4/mmm

=====

no.,total magnetic moment (μB per cell)
1,1.0
2,0.0